# 1
The following is a PBE calculation of crystalline FeTc at its relaxed geometry, from Alexandria via LeMat-Bulk.

Cell lengths 6.381, 6.381, 6.381 Å; angles 90.00, 90.00, 90.00 degrees
Element x y z (fractional)
Fe1 0.000 0.250 0.500
Fe2 0.000 0.750 0.500
Fe3 0.250 0.500 0.000
Fe4 0.500 0.000 0.250
Fe5 0.500 0.000 0.750
Fe6 0.750 0.500 0.000
Tc1 0.000 0.500 0.250
Tc2 0.000 0.500 0.750
Tc3 0.250 0.000 0.500
Tc4 0.500 0.250 0.000
Tc5 0.500 0.750 0.000
Tc6 0.750 0.000 0.500

Calculated values
The spin magnetization is 0.00 μB/f.u. As for the total energy: -7.823 eV/atom. The value obtained for the mass density is 5.9 Mg/m³.

---

# 2
The following is a PBE calculation of crystalline Ho4Tl2Cd5 at its relaxed geometry, from Alexandria via LeMat-Bulk.

Cell lengths 7.969, 3.516, 10.242 Å; angles 90.00, 95.98, 90.00 degrees
Element x y z (fractional)
Ho1 0.170 0.000 0.393
Ho2 0.278 0.000 0.938
Ho3 0.722 0.000 0.062
Ho4 0.830 0.000 0.607
Tl1 0.069 0.500 0.141
Tl2 0.931 0.500 0.859
Cd1 0.189 0.500 0.658
Cd2 0.450 0.500 0.204
Cd3 0.500 0.500 0.500
Cd4 0.550 0.500 0.796
Cd5 0.811 0.500 0.342

Calculated values
The spin magnetization is 0.00 μB/f.u. As for the total energy: -2.730 eV/atom. The value obtained for the mass density is 9.5 Mg/m³.